(1)
A plane-wave DFT calculation with PBE was carried out for Cs2Rb2Zn after structural relaxation.

abc: 10.165 10.165 8.294
angles: 90.00 90.00 90.00
Sites, in units of the cell vectors:
1 Rb 0.825 0.325 0.500
2 Rb 0.675 0.825 0.500
3 Rb 0.325 0.175 0.500
4 Rb 0.175 0.675 0.500
5 Zn 0.500 0.500 0.000
6 Zn 0.000 0.000 0.000
7 Cs 0.835 0.665 0.000
8 Cs 0.665 0.165 0.000
9 Cs 0.335 0.835 0.000
10 Cs 0.165 0.335 0.000

Computed properties:
space-group type: No. 127
calculated volume: 857 Å³ per cell
crystal system: tetragonal
formation energy: 0.8 eV per formula unit
offset from the most stable computed form: 0.0107 eV per atom


(2)
A plane-wave DFT calculation with PBE was carried out for CsRb2Zn2 after structural relaxation.

abc: 8.523 8.523 8.523
angles: 138.88 138.88 59.55
Sites, in units of the cell vectors:
1 Rb 0.250 0.750 0.500
2 Rb 0.750 0.250 0.500
3 Zn 0.413 0.413 0.000
4 Zn 0.587 0.587 0.000
5 Cs 0.000 0.000 0.000

Computed properties:
space-group type: No. 139
calculated volume: 265 Å³ per cell
crystal system: tetragonal
formation energy: 0.8 eV per formula unit
offset from the most stable computed form: 0.0360 eV per atom


(3)
A plane-wave DFT calculation with PBE was carried out for Cs2Rb4Zn after structural relaxation.

abc: 8.184 12.601 12.601
angles: 83.95 71.05 71.05
Sites, in units of the cell vectors:
1 Rb 0.413 0.264 0.910
2 Rb 0.177 0.736 0.910
3 Rb 0.087 0.090 0.736
4 Rb 0.587 0.736 0.090
5 Rb 0.677 0.910 0.736
6 Rb 0.913 0.910 0.264
7 Rb 0.823 0.264 0.090
8 Rb 0.323 0.090 0.264
9 Cs 0.113 0.500 0.275
10 Cs 0.887 0.500 0.725
11 Cs 0.387 0.725 0.500
12 Cs 0.613 0.275 0.500
13 Zn 0.250 0.000 0.000
14 Zn 0.750 0.000 0.000

Computed properties:
space-group type: No. 140
calculated volume: 1163 Å³ per cell
crystal system: tetragonal
formation energy: 0.4 eV per formula unit
offset from the most stable computed form: 0.0000 eV per atom


(4)
A plane-wave DFT calculation with PBE was carried out for Cs2RbZn after structural relaxation.

abc: 12.623 12.623 9.778
angles: 49.80 49.80 90.00
Sites, in units of the cell vectors:
1 Cs 0.375 0.477 0.750
2 Cs 0.227 0.625 0.250
3 Cs 0.875 0.773 0.750
4 Cs 0.523 0.125 0.250
5 Zn 0.250 0.750 0.500
6 Zn 0.500 0.500 0.000
7 Rb 0.000 0.000 0.000
8 Rb 0.750 0.250 0.500

Computed properties:
space-group type: No. 122
calculated volume: 636 Å³ per cell
crystal system: tetragonal
formation energy: 0.6 eV per formula unit
offset from the most stable computed form: 0.0333 eV per atom


(5)
A plane-wave DFT calculation with PBE was carried out for CsRb2Zn2 after structural relaxation.

abc: 10.974 10.974 4.309
angles: 90.00 90.00 90.00
Sites, in units of the cell vectors:
1 Rb 0.870 0.630 0.000
2 Rb 0.130 0.370 0.000
3 Rb 0.370 0.870 0.000
4 Rb 0.630 0.130 0.000
5 Zn 0.834 0.334 0.500
6 Zn 0.334 0.166 0.500
7 Zn 0.166 0.666 0.500
8 Zn 0.666 0.834 0.500
9 Cs 0.500 0.500 0.000
10 Cs 0.000 0.000 0.000

Computed properties:
space-group type: No. 127
calculated volume: 519 Å³ per cell
crystal system: tetragonal
formation energy: 1.2 eV per formula unit
offset from the most stable computed form: 0.1062 eV per atom


(6)
A plane-wave DFT calculation with PBE was carried out for Cs2RbZn2 after structural relaxation.

abc: 9.787 9.787 5.787
angles: 90.00 90.00 90.00
Sites, in units of the cell vectors:
1 Zn 0.596 0.904 0.000
2 Zn 0.096 0.596 0.000
3 Zn 0.404 0.096 0.000
4 Zn 0.904 0.404 0.000
5 Cs 0.675 0.175 0.500
6 Cs 0.825 0.675 0.500
7 Cs 0.325 0.825 0.500
8 Cs 0.175 0.325 0.500
9 Rb 0.000 0.000 0.000
10 Rb 0.500 0.500 0.000

Computed properties:
space-group type: No. 127
calculated volume: 554 Å³ per cell
crystal system: tetragonal
formation energy: 0.7 eV per formula unit
offset from the most stable computed form: 0.0000 eV per atom


(7)
A plane-wave DFT calculation with PBE was carried out for Cs2Rb2Zr after structural relaxation.

abc: 5.649 5.649 13.104
angles: 77.55 77.55 90.00
Site moments in Bohr magnetons follow the coordinates.
Sites, in units of the cell vectors:
1 Rb 0.250 0.750 0.500  0.00
2 Rb 0.750 0.250 0.500  0.00
3 Cs 0.582 0.582 0.835  0.03
4 Cs 0.418 0.418 0.165  0.03
5 Zr 0.000 0.000 0.000  1.69

Computed properties:
space-group type: No. 139
calculated volume: 398 Å³ per cell
crystal system: tetragonal
formation energy: 4.8 eV per formula unit
offset from the most stable computed form: 0.0000 eV per atom


(8)
A plane-wave DFT calculation with PBE was carried out for Cs2Rb2Zr after structural relaxation.

abc: 11.553 11.553 4.840
angles: 90.00 90.00 90.00
Site moments in Bohr magnetons follow the coordinates.
Sites, in units of the cell vectors:
1 Cs 0.151 0.349 0.000  0.02
2 Cs 0.349 0.849 0.000  0.02
3 Cs 0.849 0.651 0.000  0.02
4 Cs 0.651 0.151 0.000  0.02
5 Rb 0.337 0.163 0.500  0.01
6 Rb 0.837 0.337 0.500  0.01
7 Rb 0.663 0.837 0.500  0.01
8 Rb 0.163 0.663 0.500  0.01
9 Zr 0.500 0.500 0.000  1.64
10 Zr 0.000 0.000 0.000  1.64

Computed properties:
space-group type: No. 127
calculated volume: 646 Å³ per cell
crystal system: tetragonal
formation energy: 4.8 eV per formula unit
offset from the most stable computed form: 0.0077 eV per atom


(9)
A plane-wave DFT calculation with PBE was carried out for CsRbZr2 after structural relaxation.

abc: 5.873 5.873 5.873
angles: 60.00 60.00 60.00
Sites, in units of the cell vectors:
1 Cs 0.500 0.500 0.500
2 Zr 0.750 0.750 0.750
3 Zr 0.250 0.250 0.250
4 Rb 0.000 0.000 0.000

Computed properties:
space-group type: No. 225
calculated volume: 143 Å³ per cell
crystal system: cubic
formation energy: 7.2 eV per formula unit


(10)
A plane-wave DFT calculation with PBE was carried out for CsRbZr3 after structural relaxation.

abc: 5.516 5.516 5.516
angles: 90.00 90.00 90.00
Site moments in Bohr magnetons follow the coordinates.
Sites, in units of the cell vectors:
1 Zr 0.000 0.000 0.500  0.29
2 Zr 0.500 0.000 0.000  0.36
3 Zr 0.000 0.500 0.000  0.29
4 Cs 0.000 0.000 0.000  0.06
5 Rb 0.500 0.500 0.500  0.00

Computed properties:
space-group type: No. 221
calculated volume: 168 Å³ per cell
crystal system: cubic
formation energy: 10.1 eV per formula unit
offset from the most stable computed form: 0.0000 eV per atom


(11)
A plane-wave DFT calculation with PBE was carried out for CsRbZr3 after structural relaxation.

abc: 5.530 5.530 5.530
angles: 90.00 90.00 90.00
Site moments in Bohr magnetons follow the coordinates.
Sites, in units of the cell vectors:
1 Rb 0.000 0.000 0.000  0.11
2 Zr 0.500 0.000 0.000  0.36
3 Zr 0.000 0.500 0.000  0.44
4 Zr 0.000 0.000 0.500  0.57
5 Cs 0.500 0.500 0.500  0.01

Computed properties:
space-group type: No. 221
calculated volume: 169 Å³ per cell
crystal system: cubic
formation energy: 11.2 eV per formula unit
offset from the most stable computed form: 0.2070 eV per atom


(12)
A plane-wave DFT calculation with PBE was carried out for CsRe after structural relaxation.

abc: 11.240 11.240 3.080
angles: 90.00 90.00 90.00
Sites, in units of the cell vectors:
1 Re 0.069 0.931 0.000
2 Re 0.931 0.069 0.000
3 Re 0.569 0.569 0.500
4 Re 0.431 0.431 0.500
5 Cs 0.712 0.288 0.500
6 Cs 0.212 0.212 0.000
7 Cs 0.788 0.788 0.000
8 Cs 0.288 0.712 0.500

Computed properties:
space-group type: No. 136
calculated volume: 389 Å³ per cell
crystal system: tetragonal
formation energy: 3.8 eV per formula unit
offset from the most stable computed form: 0.8228 eV per atom


(13)
A plane-wave DFT calculation with PBE was carried out for CsRe after structural relaxation.

abc: 10.634 11.314 3.618
angles: 90.00 90.00 90.00
Sites, in units of the cell vectors:
1 Re 0.833 0.004 0.000
2 Re 0.333 0.996 0.500
3 Re 0.167 0.004 0.000
4 Re 0.500 0.004 0.000
5 Re 0.000 0.996 0.500
6 Re 0.667 0.996 0.500
7 Cs 0.000 0.719 0.000
8 Cs 0.833 0.281 0.500
9 Cs 0.333 0.719 0.000
10 Cs 0.500 0.281 0.500
11 Cs 0.167 0.281 0.500
12 Cs 0.667 0.719 0.000

Computed properties:
space-group type: No. 59
calculated volume: 435 Å³ per cell
crystal system: orthorhombic
formation energy: 2.2 eV per formula unit
offset from the most stable computed form: 0.0000 eV per atom


(14)
A plane-wave DFT calculation with PBE was carried out for CsRe after structural relaxation.

abc: 3.061 3.061 12.869
angles: 90.00 90.00 120.00
Sites, in units of the cell vectors:
1 Cs 0.667 0.333 0.911
2 Cs 0.333 0.667 0.411
3 Re 0.667 0.333 0.171
4 Re 0.333 0.667 0.671

Computed properties:
space-group type: No. 186
calculated volume: 104 Å³ per cell
crystal system: hexagonal
formation energy: 4.8 eV per formula unit
offset from the most stable computed form: 1.3000 eV per atom


(15)
A plane-wave DFT calculation with PBE was carried out for CsRe after structural relaxation.

abc: 3.067 3.067 6.348
angles: 90.00 90.00 120.00
Sites, in units of the cell vectors:
1 Cs 0.667 0.333 0.000
2 Re 0.000 0.000 0.500

Computed properties:
space-group type: No. 187
calculated volume: 52 Å³ per cell
crystal system: hexagonal
formation energy: 4.7 eV per formula unit
offset from the most stable computed form: 1.2528 eV per atom


(16)
A plane-wave DFT calculation with PBE was carried out for CsRe after structural relaxation.

abc: 15.626 15.626 3.564
angles: 90.00 90.00 90.00
Sites, in units of the cell vectors:
1 Re 0.756 0.297 0.000
2 Re 0.797 0.744 0.500
3 Re 0.244 0.703 0.000
4 Re 0.203 0.256 0.500
5 Re 0.297 0.244 0.000
6 Re 0.744 0.203 0.500
7 Re 0.703 0.756 0.000
8 Re 0.256 0.797 0.500
9 Cs 0.255 0.036 0.500
10 Cs 0.536 0.245 0.000
11 Cs 0.745 0.964 0.500
12 Cs 0.464 0.755 0.000
13 Cs 0.964 0.255 0.500
14 Cs 0.036 0.745 0.500
15 Cs 0.245 0.464 0.000
16 Cs 0.755 0.536 0.000

Computed properties:
space-group type: No. 87
calculated volume: 870 Å³ per cell
crystal system: tetragonal
formation energy: 2.8 eV per formula unit
offset from the most stable computed form: 0.3177 eV per atom


(17)
A plane-wave DFT calculation with PBE was carried out for CsRe after structural relaxation.

abc: 8.448 8.448 8.448
angles: 90.00 90.00 90.00
Site moments in Bohr magnetons follow the coordinates.
Sites, in units of the cell vectors:
1 Cs 0.250 0.250 0.250  0.02
2 Cs 0.250 0.750 0.750  0.02
3 Cs 0.750 0.750 0.250  0.02
4 Cs 0.750 0.250 0.750  0.02
5 Re 0.000 0.000 0.000  3.26
6 Re 0.000 0.500 0.500  3.26
7 Re 0.500 0.500 0.000  3.26
8 Re 0.500 0.000 0.500  3.26

Computed properties:
space-group type: No. 216
calculated volume: 603 Å³ per cell
crystal system: cubic
formation energy: 6.7 eV per formula unit
offset from the most stable computed form: 2.2438 eV per atom


(18)
A plane-wave DFT calculation with PBE was carried out for CsRe after structural relaxation.

abc: 3.063 3.063 6.609
angles: 76.46 76.48 60.03
Sites, in units of the cell vectors:
1 Cs 0.372 0.363 0.800
2 Re 0.876 0.862 0.300

Computed properties:
space-group type: No. 1
calculated volume: 52 Å³ per cell
crystal system: triclinic
formation energy: 4.7 eV per formula unit
offset from the most stable computed form: 1.2527 eV per atom


(19)
A plane-wave DFT calculation with PBE was carried out for CsRe after structural relaxation.

abc: 12.730 12.730 3.686
angles: 90.00 90.00 120.00
Sites, in units of the cell vectors:
1 Cs 0.642 0.821 0.750
2 Cs 0.358 0.179 0.250
3 Cs 0.821 0.642 0.250
4 Cs 0.179 0.358 0.750
5 Cs 0.821 0.179 0.250
6 Cs 0.179 0.821 0.750
7 Re 0.468 0.935 0.250
8 Re 0.935 0.468 0.750
9 Re 0.065 0.532 0.250
10 Re 0.468 0.532 0.250
11 Re 0.532 0.468 0.750
12 Re 0.532 0.065 0.750

Computed properties:
space-group type: No. 194
calculated volume: 517 Å³ per cell
crystal system: hexagonal
formation energy: 2.8 eV per formula unit
offset from the most stable computed form: 0.3229 eV per atom


(20)
A plane-wave DFT calculation with PBE was carried out for Cs4Re after structural relaxation.

abc: 7.242 7.242 7.242
angles: 90.00 90.00 90.00
Site moments in Bohr magnetons follow the coordinates.
Sites, in units of the cell vectors:
1 Cs 0.500 0.000 0.500  0.00
2 Cs 0.000 0.000 0.000  -0.01
3 Cs 0.500 0.500 0.000  0.00
4 Cs 0.000 0.500 0.500  0.00
5 Re 0.500 0.500 0.500  2.74

Computed properties:
space-group type: No. 221
calculated volume: 380 Å³ per cell
crystal system: cubic
formation energy: 6.1 eV per formula unit